{"formula": "Ca2Fe9O13", "functional": "PBE+U", "state": "optimized geometry", "lattice": [[1.507, 5.023, -0.016], [-1.507, 5.023, -0.016], [0.000, 2.481, 16.448]], "species": ["Ca", "Ca", "Fe", "Fe", "Fe", "Fe", "Fe", "Fe", "Fe", "Fe", "Fe", "O", "O", "O", "O", "O", "O", "O", "O", "O", "O", "O", "O", "O"], "frac_coords": [[0.782, 0.782, 0.223], [0.218, 0.218, 0.777], [0.500, 0.500, 0.500], [0.354, 0.354, 0.039], [0.646, 0.646, 0.961], [0.243, 0.243, 0.421], [0.757, 0.757, 0.579], [0.062, 0.062, 0.118], [0.938, 0.938, 0.882], [0.999, 0.999, 0.332], [0.001, 0.001, 0.668], [0.000, 0.000, 0.000], [0.111, 0.111, 0.225], [0.889, 0.889, 0.775], [0.697, 0.697, 0.077], [0.303, 0.303, 0.923], [0.434, 0.434, 0.141], [0.566, 0.566, 0.859], [0.364, 0.364, 0.316], [0.636, 0.636, 0.684], [0.605, 0.605, 0.392], [0.395, 0.395, 0.608], [0.884, 0.884, 0.467], [0.116, 0.116, 0.533]], "space_group": "C2/m", "energy_ev_per_atom": -6.1609, "dos_ef_per_ev_cell": 0.68}